(1)
# ScCo2H8

An optimized crystal structure of ScCo2H8 (PBE, Alexandria via LeMat-Bulk).

The structure in POSCAR format:
```
ScCo2H8
1.0
3.981 0.000 0.000
0.000 3.981 0.000
0.000 0.000 4.402
H Co Sc
8 2 1
direct
0.781 0.781 0.797
0.219 0.781 0.797
0.219 0.219 0.203
0.219 0.781 0.203
0.781 0.219 0.797
0.781 0.781 0.203
0.219 0.219 0.797
0.781 0.219 0.203
0.000 0.500 0.000
0.500 0.000 0.000
0.500 0.500 0.500
```

As for the space group: P4/mmm. Its electronic total energy is -0.162 Ha/atom.

---

(2)
# ScCo3H6

An optimized crystal structure of ScCo3H6 (PBE, Alexandria via LeMat-Bulk).

The structure in POSCAR format:
```
ScCo3H6
1.0
3.997 0.000 -2.142
-2.573 3.735 0.000
-0.140 -0.096 4.540
H Co Sc
6 3 1
direct
0.792 0.372 0.730
0.796 0.019 0.203
0.309 0.937 0.730
0.358 0.421 0.730
0.426 0.408 0.203
0.184 0.777 0.203
0.302 0.651 0.954
0.281 0.141 0.422
0.761 0.380 0.141
0.790 0.895 0.686
```

As for the space group: R3. Its electronic total energy is -0.182 Ha/atom.

---

Q: What is the formula in the first record?
A: ScCo2H8

---

Q: Look up the electronic total energy of the second one.
A: -0.182 Ha/atom